[1]
ErMgAgTe2S after structural relaxation. Source: OQMD, functional PBE.

a = 7.260 Å, b = 7.260 Å, c = 10.541 Å
α = 90.00°, β = 90.00°, γ = 147.08°
Fractional coordinates of all 12 atoms:
Te: 0.154 0.846 0.566
Te: 0.154 0.846 0.934
Te: 0.846 0.154 0.066
Te: 0.846 0.154 0.434
Mg: 0.776 0.224 0.750
Mg: 0.224 0.776 0.250
Er: 0.500 0.500 0.500
Er: 0.500 0.500 0.000
Ag: 0.986 0.014 0.250
Ag: 0.014 0.986 0.750
S: 0.599 0.401 0.250
S: 0.401 0.599 0.750

## Properties
- Total magnetization: 0.0 μB per cell
- SG: Cmcm, No. 63
- DFT total energy: -4.07 eV/atom

[2]
ErMgAgTe2Se after structural relaxation. Source: OQMD, functional PBE.

a = 7.272 Å, b = 7.272 Å, c = 10.905 Å
α = 90.00°, β = 90.00°, γ = 147.21°
Fractional coordinates of all 12 atoms:
Ag: 0.016 0.984 0.750
Ag: 0.984 0.016 0.250
Er: 0.500 0.500 0.500
Er: 0.500 0.500 0.000
Mg: 0.754 0.246 0.750
Mg: 0.246 0.754 0.250
Te: 0.847 0.153 0.432
Te: 0.847 0.153 0.068
Te: 0.153 0.847 0.568
Te: 0.153 0.847 0.932
Se: 0.609 0.391 0.250
Se: 0.391 0.609 0.750

## Properties
- Total magnetization: 0.0 μB per cell
- SG: Cmcm, No. 63
- DFT total energy: -3.95 eV/atom

[3]
ErMgAgTe3 after structural relaxation. Source: OQMD, functional PBE.

a = 7.405 Å, b = 7.405 Å, c = 11.259 Å
α = 90.00°, β = 90.00°, γ = 147.48°
Fractional coordinates of all 12 atoms:
Te: 0.886 0.114 0.750
Te: 0.650 0.350 0.935
Te: 0.114 0.886 0.250
Te: 0.350 0.650 0.435
Te: 0.350 0.650 0.065
Te: 0.650 0.350 0.565
Er: 0.000 0.000 0.500
Er: 0.000 0.000 0.000
Ag: 0.521 0.479 0.750
Ag: 0.479 0.521 0.250
Mg: 0.221 0.779 0.750
Mg: 0.779 0.221 0.250

## Properties
- Total magnetization: 0.0 μB per cell
- SG: Cmcm, No. 63
- DFT total energy: -3.83 eV/atom

[4]
ErTmMg2Ag4 after structural relaxation. Source: OQMD, functional PBE.

a = 4.880 Å, b = 4.880 Å, c = 6.896 Å
α = 90.00°, β = 90.00°, γ = 90.00°
Fractional coordinates of all 8 atoms:
Er: 0.500 0.500 0.000
Ag: 0.500 0.000 0.250
Ag: 0.000 0.500 0.250
Ag: 0.500 0.000 0.750
Ag: 0.000 0.500 0.750
Mg: 0.000 0.000 0.000
Mg: 0.500 0.500 0.500
Tm: 0.000 0.000 0.500

## Properties
- Total magnetization: 0.0 μB per cell
- SG: P4/mmm, No. 123
- DFT total energy: -3.24 eV/atom

[5]
ErAgMo after structural relaxation. Source: OQMD, functional PBE.

a = 4.688 Å, b = 4.688 Å, c = 4.688 Å
α = 60.00°, β = 60.00°, γ = 60.00°
Fractional coordinates of all 3 atoms:
Er: 0.000 0.000 0.000
Ag: 0.250 0.250 0.250
Mo: 0.750 0.750 0.750

## Properties
- Total magnetization: 2.9 μB per cell
- SG: F-43m, No. 216
- Offset from the most stable computed form: 0.59 eV per formula unit
- DFT total energy: -4.93 eV/atom
- Formation enthalpy at 0 K: 1.153 eV/atom

[6]
ErAgMo after structural relaxation. Source: OQMD, functional PBE.

a = 4.671 Å, b = 4.671 Å, c = 4.671 Å
α = 60.00°, β = 60.00°, γ = 60.00°
Fractional coordinates of all 3 atoms:
Er: 0.500 0.500 0.500
Ag: 0.000 0.000 0.000
Mo: 0.750 0.750 0.750

## Properties
- Total magnetization: 2.9 μB per cell
- SG: F-43m, No. 216
- Offset from the most stable computed form: 0.00 eV per formula unit
- DFT total energy: -5.12 eV/atom
- Formation enthalpy at 0 K: 0.958 eV/atom

[7]
NaErAg after structural relaxation. Source: OQMD, functional PBE.

a = 4.903 Å, b = 4.903 Å, c = 4.903 Å
α = 60.00°, β = 60.00°, γ = 60.00°
Fractional coordinates of all 3 atoms:
Er: 0.250 0.250 0.250
Ag: 0.000 0.000 0.000
Na: 0.750 0.750 0.750

## Properties
- Total magnetization: 0.0 μB per cell
- SG: F-43m, No. 216
- DFT total energy: -2.75 eV/atom

[8]
ErNbAg2O4 after structural relaxation. Source: OQMD, functional PBE.

a = 3.251 Å, b = 3.251 Å, c = 13.020 Å
α = 90.00°, β = 90.00°, γ = 120.00°
Fractional coordinates of all 8 atoms:
O: 0.333 0.667 0.412
O: 0.667 0.333 0.588
O: 0.333 0.667 0.086
O: 0.667 0.333 0.914
Er: 0.000 0.000 0.500
Ag: 0.667 0.333 0.749
Ag: 0.333 0.667 0.251
Nb: 0.000 0.000 0.000

## Properties
- Total magnetization: 0.3 μB per cell
- SG: P-3m1, No. 164
- DFT total energy: -6.76 eV/atom

[9]
NdErAg2Sb4 after structural relaxation. Source: OQMD, functional PBE.

a = 4.362 Å, b = 4.362 Å, c = 10.500 Å
α = 90.00°, β = 90.00°, γ = 90.00°
Fractional coordinates of all 8 atoms:
Sb: 0.000 0.000 0.322
Sb: 0.000 0.500 0.993
Sb: 0.500 0.000 0.993
Sb: 0.500 0.500 0.687
Er: 0.000 0.000 0.761
Ag: 0.000 0.500 0.505
Ag: 0.500 0.000 0.505
Nd: 0.500 0.500 0.235

## Properties
- Total magnetization: 0.0 μB per cell
- SG: P4mm, No. 99
- DFT total energy: -4.57 eV/atom

[10]
ErNi4Ag after structural relaxation. Source: OQMD, functional PBE.

a = 4.907 Å, b = 4.907 Å, c = 4.907 Å
α = 60.00°, β = 60.00°, γ = 60.00°
Fractional coordinates of all 6 atoms:
Ni: 0.125 0.624 0.125
Ni: 0.125 0.125 0.125
Ni: 0.624 0.125 0.125
Ni: 0.125 0.125 0.624
Er: 0.750 0.750 0.750
Ag: 0.500 0.500 0.500

## Properties
- Total magnetization: 1.0 μB per cell
- SG: F-43m, No. 216
- DFT total energy: -5.26 eV/atom
- Formation enthalpy at 0 K: -0.320 eV/atom

[11]
Er2NiAg after structural relaxation. Source: OQMD, functional PBE.

a = 4.521 Å, b = 5.519 Å, c = 6.987 Å
α = 90.00°, β = 90.00°, γ = 90.00°
Fractional coordinates of all 8 atoms:
Ag: 0.000 0.104 0.467
Ag: 0.000 0.896 0.967
Er: 0.500 0.131 0.180
Er: 0.500 0.869 0.680
Er: 0.000 0.598 0.316
Er: 0.000 0.402 0.816
Ni: 0.500 0.611 0.038
Ni: 0.500 0.389 0.538

## Properties
- Total magnetization: 0.0 μB per cell
- SG: Pmc2_1, No. 26
- DFT total energy: -4.75 eV/atom
- Formation enthalpy at 0 K: -0.366 eV/atom

[12]
Tb2ErZn3NiAg2 after structural relaxation. Source: OQMD, functional PBE.

a = 4.008 Å, b = 7.209 Å, c = 7.209 Å
α = 119.79°, β = 90.00°, γ = 90.00°
Fractional coordinates of all 9 atoms:
Ni: 0.000 0.003 0.003
Zn: 0.500 0.772 0.772
Zn: 0.500 0.001 0.229
Zn: 0.500 0.229 0.001
Tb: 0.000 0.001 0.607
Tb: 0.000 0.607 0.001
Ag: 0.500 0.335 0.663
Ag: 0.500 0.663 0.335
Er: 0.000 0.390 0.390

## Properties
- Total magnetization: 0.0 μB per cell
- SG: Amm2, No. 38
- DFT total energy: -3.56 eV/atom
- Formation enthalpy at 0 K: -0.352 eV/atom